A plane-wave DFT calculation with PBE was carried out for a geometry-optimized Gd2Y3Si4 structure.

Lattice parameters (Å, degrees): 7.4469 14.6656 7.7351 90.00 90.00 90.00
With the nearest neighbours (Å) after each atom.
Space group Pnma (No. 62)
Asymmetric unit:
Gd: 0.0266 0.0984 0.1827 (multiplicity 8)  6 Si 3.06-3.17
Y: 0.1510 0.7500 0.5124 (multiplicity 4)  5 Si 2.92-3.10
Y: 0.1814 0.1227 0.6792 (multiplicity 8)  6 Si 2.87-3.03
Si: 0.0234 0.7500 0.1051 (multiplicity 4)  1 Si 2.55
Si: 0.1466 0.5399 0.4712 (multiplicity 8)  1 Si 2.52
Si: 0.2327 0.2500 0.3739 (multiplicity 4)  1 Si 2.55

Output
- DFT total energy (eV/atom) = -6.375
- magnetic moment (μB/f.u.) = 0.062

A plane-wave DFT calculation with PBE was carried out for a geometry-optimized DyYCu2B2C2 structure.

Lattice parameters (Å, degrees): 3.5866 3.5866 7.8775 90.00 90.00 90.00
With the nearest neighbours (Å) after each atom.
Space group P4mm (No. 99)
Asymmetric unit:
Dy: 0.0000 0.0000 0.0000 (multiplicity 1)  5 C 2.41-2.54
Y: 0.5000 0.5000 0.3230 (multiplicity 1)  5 C 2.41-2.54
Cu: 0.0000 0.5000 0.6618 (multiplicity 2)  4 B 2.24-2.25
B: 0.0000 0.0000 0.4903 (multiplicity 1)  1 C 1.46
B: 0.5000 0.5000 0.8327 (multiplicity 1)  1 C 1.46
C: 0.0000 0.0000 0.3053 (multiplicity 1)  1 B 1.46
C: 0.5000 0.5000 0.0176 (multiplicity 1)  1 B 1.46

Output
- DFT total energy (eV/atom) = -6.631
- magnetic moment (μB/f.u.) = 0.004

A plane-wave DFT calculation with PBE was carried out for a geometry-optimized YNbFeSb structure.

Lattice parameters (Å, degrees): 6.7143 6.7143 6.7143 90.00 90.00 90.00
With the nearest neighbours (Å) after each atom.
Space group F-43m (No. 216)
Asymmetric unit:
Y: 0.0000 0.0000 0.0000 (multiplicity 4)  4 Nb 2.91, 4 Fe 2.91
Nb: 0.2500 0.2500 0.2500 (multiplicity 4)  4 Sb 2.91, 4 Y 2.91
Fe: 0.2500 0.2500 0.7500 (multiplicity 4)  4 Sb 2.91, 4 Y 2.91
Sb: 0.0000 0.0000 0.5000 (multiplicity 4)  4 Fe 2.91, 4 Nb 2.91

Output
- E above lowest polymorph (meV/atom) = 0
- magnetic moment (μB/f.u.) = 2.968

A plane-wave DFT calculation with PBE was carried out for a geometry-optimized PuTa structure.

Lattice parameters (Å, degrees): 2.7881 2.7881 5.5589 90.00 90.00 120.00
With the nearest neighbours (Å) after each atom.
Space group P-6m2 (No. 187)
Asymmetric unit:
Pu: 0.0000 0.0000 0.0000 (multiplicity 1)  6 Pu 2.79
Ta: 0.6667 0.3333 0.5000 (multiplicity 1)  6 Ta 2.79

Output
- E above lowest polymorph (meV/atom) = 0
- magnetic moment (μB/f.u.) = 3.905

A plane-wave DFT calculation with PBE was carried out for a geometry-optimized HgBiIr2 structure.

Lattice parameters (Å, degrees): 6.7486 6.7486 6.7486 90.00 90.00 90.00
With the nearest neighbours (Å) after each atom.
Space group F-43m (No. 216)
Asymmetric unit:
Hg: 0.0000 0.0000 0.0000 (multiplicity 4)  4 Bi 2.92, 4 Ir 2.92
Bi: 0.2500 0.2500 0.7500 (multiplicity 4)  4 Hg 2.92, 4 Ir 2.92
Ir: 0.0000 0.0000 0.5000 (multiplicity 4)  4 Bi 2.92, 4 Ir 2.92
Ir: 0.2500 0.2500 0.2500 (multiplicity 4)  4 Hg 2.92, 4 Ir 2.92

Output
- DFT total energy (eV/atom) = -4.831
- magnetic moment (μB/f.u.) = 0.010

A plane-wave DFT calculation with PBE was carried out for a geometry-optimized BaNaAsPd structure.

Lattice parameters (Å, degrees): 7.1934 7.1934 7.1934 90.00 90.00 90.00
With the nearest neighbours (Å) after each atom.
Space group F-43m (No. 216)
Asymmetric unit:
Ba: 0.0000 0.0000 0.0000 (multiplicity 4)  4 Pd 3.11, 4 Na 3.11
Na: 0.2500 0.2500 0.2500 (multiplicity 4)  4 Ba 3.11, 4 As 3.11
As: 0.0000 0.0000 0.5000 (multiplicity 4)  4 Na 3.11, 4 Pd 3.11
Pd: 0.2500 0.2500 0.7500 (multiplicity 4)  4 Ba 3.11, 4 As 3.11

Output
- E above lowest polymorph (meV/atom) = 0

A plane-wave DFT calculation with PBE was carried out for a geometry-optimized RbPrSO structure.

Lattice parameters (Å, degrees): 9.6195 8.4688 5.7756 90.00 90.00 90.00
With the nearest neighbours (Å) after each atom.
Space group Pbcm (No. 57)
Asymmetric unit:
Rb: 0.0945 0.1153 0.2500 (multiplicity 4)  4 O 2.83-3.01
Pr: 0.3538 0.5614 0.2500 (multiplicity 4)  1 O 2.08
S: 0.3829 0.5998 0.7500 (multiplicity 4)  4 Pr 2.88-2.92
O: 0.1610 0.0505 0.7500 (multiplicity 4)  1 Pr 2.08

Output
- E above lowest polymorph (meV/atom) = 185
- magnetic moment (μB/f.u.) = 0.000

A plane-wave DFT calculation with PBE was carried out for a geometry-optimized Cu2Ag3 structure.

Lattice parameters (Å, degrees): 15.0177 2.8450 7.5552 90.00 104.89 90.00
With the nearest neighbours (Å) after each atom.
Space group Cm (No. 8)
Asymmetric unit:
Cu: 0.0000 0.0000 0.0000 (multiplicity 2)  7 Ag 2.69-2.85, 4 Cu 2.75-2.85
Cu: 0.0005 0.0000 0.4855 (multiplicity 2)  5 Cu 2.60-2.85, 6 Ag 2.68-2.83
Cu: 0.3194 0.5000 0.3906 (multiplicity 2)  5 Cu 2.57-2.85, 6 Ag 2.70-2.81
Cu: 0.4087 0.0000 0.2106 (multiplicity 2)  8 Cu 2.57-2.85, 3 Ag 2.67-2.74
Ag: 0.0928 0.5000 0.2906 (multiplicity 2)  5 Cu 2.67-2.69, 6 Ag 2.82-2.85
Ag: 0.1041 0.5000 0.7938 (multiplicity 2)  8 Ag 2.81-3.03, 4 Cu 2.83-2.85
Ag: 0.2091 0.0000 0.1173 (multiplicity 2)  3 Cu 2.70-2.90, 8 Ag 2.82-2.92
Ag: 0.2124 0.0000 0.5818 (multiplicity 2)  3 Cu 2.81-3.08, 9 Ag 2.84-2.93
Ag: 0.3129 0.5000 0.9126 (multiplicity 2)  3 Cu 2.72-2.74, 9 Ag 2.84-3.03
Ag: 0.4105 0.0000 0.6897 (multiplicity 2)  6 Cu 2.70-2.78, 6 Ag 2.81-2.88

Output
- E above lowest polymorph (meV/atom) = 51

A plane-wave DFT calculation with PBE was carried out for a geometry-optimized TaFeSiOs structure.

Lattice parameters (Å, degrees): 6.1224 6.1224 6.1224 90.00 90.00 90.00
With the nearest neighbours (Å) after each atom.
Space group F-43m (No. 216)
Asymmetric unit:
Ta: 0.0000 0.0000 0.0000 (multiplicity 4)  4 Os 2.65, 4 Si 2.65
Fe: 0.0000 0.0000 0.5000 (multiplicity 4)  4 Os 2.65, 4 Si 2.65
Si: 0.2500 0.2500 0.2500 (multiplicity 4)  4 Ta 2.65, 4 Fe 2.65
Os: 0.2500 0.2500 0.7500 (multiplicity 4)  4 Ta 2.65, 4 Fe 2.65

Output
- E above lowest polymorph (meV/atom) = 364
- magnetic moment (μB/f.u.) = 3.163

A plane-wave DFT calculation with PBE was carried out for a geometry-optimized Be3FeW2 structure.

Lattice parameters (Å, degrees): 4.5018 4.5018 7.4109 90.00 90.00 120.00
With the nearest neighbours (Å) after each atom.
Space group P6_3/mmc (No. 194)
Asymmetric unit:
Be: 0.1672 0.3344 0.2500 (multiplicity 6)  4 Be 2.24-2.26, 2 Fe 2.27
Fe: 0.0000 0.0000 0.0000 (multiplicity 2)  6 Be 2.27
W: 0.3333 0.6667 0.5668 (multiplicity 4)  9 Be 2.63-2.68, 3 Fe 2.65, 4 W 2.72-2.78

Output
- DFT total energy (eV/atom) = -7.790
- magnetic moment (μB/f.u.) = 0.025

A plane-wave DFT calculation with PBE was carried out for a geometry-optimized YCdInTe3 structure.

Lattice parameters (Å, degrees): 11.6216 4.4586 15.1473 90.00 90.00 90.00
With the nearest neighbours (Å) after each atom.
Space group Pnma (No. 62)
Asymmetric unit:
Y: 0.0114 0.2500 0.2481 (multiplicity 4)  6 Te 3.12-3.19
Cd: 0.2412 0.2500 0.7171 (multiplicity 4)  4 Te 2.81-2.87
In: 0.2351 0.7500 0.5113 (multiplicity 4)  7 Te 3.48-3.71, 2 Cd 3.83
Te: 0.0398 0.2500 0.6127 (multiplicity 4)  1 Cd 2.82, 2 Y 3.13
Te: 0.0619 0.7500 0.1093 (multiplicity 4)  1 Cd 2.81, 2 Y 3.12
Te: 0.2395 0.7500 0.8361 (multiplicity 4)  2 Cd 2.87, 2 Y 3.18-3.19

Output
- E above lowest polymorph (meV/atom) = 0
- magnetic moment (μB/f.u.) = 0.001

A plane-wave DFT calculation with PBE was carried out for a geometry-optimized LiHfAgSeS2 structure.

Lattice parameters (Å, degrees): 3.7043 12.7203 10.3950 90.00 90.00 90.00
With the nearest neighbours (Å) after each atom.
Space group Cmcm (No. 63)
Asymmetric unit:
Li: 0.0000 0.2473 0.2500 (multiplicity 4)  2 Se 2.68
Hf: 0.0000 0.5000 0.0000 (multiplicity 4)  4 S 2.56, 2 Se 2.86
Ag: 0.0000 0.0583 0.7500 (multiplicity 4)  2 S 2.42, 2 Se 2.69
Se: 0.0000 0.4052 0.7500 (multiplicity 4)  2 Li 2.68, 2 Ag 2.69, 2 Hf 2.86
S: 0.0000 0.1360 0.5380 (multiplicity 8)  1 Ag 2.42, 2 Hf 2.56

Output
- DFT total energy (eV/atom) = -5.385
- magnetic moment (μB/f.u.) = 0.003